First-principles (PBE-GGA) data for a relaxed B5C crystal, as listed in the Alexandria database.

Properties
- ΔE to the lowest computed polymorph (eV/f.u.) = 1.18
- formation enthalpy at 0 K (meV/atom) = 394

The structure in CIF format:
```
data_B5C
_space_group_name_H-M_alt 'C 1 2/m 1'
_space_group_IT_number 12
_cell_length_a 11.656
_cell_length_b 2.740
_cell_length_c 5.557
_cell_angle_alpha 90.00
_cell_angle_beta 92.84
_cell_angle_gamma 90.00
loop_
_space_group_symop_operation_xyz
'x,y,z'
'-x,-y,-z'
'-x,y,-z'
'x,-y,z'
'x+1/2,y+1/2,z'
'-x+1/2,-y+1/2,-z'
'-x+1/2,y+1/2,-z'
'x+1/2,-y+1/2,z'
loop_
_atom_site_label
_atom_site_type_symbol
_atom_site_fract_x
_atom_site_fract_y
_atom_site_fract_z
_atom_site_occupancy
B1 B 0.015 0.000 0.156 1
B2 B 0.021 0.500 0.359 1
B3 B 0.137 0.000 0.971 1
B4 B 0.139 0.500 0.590 1
B5 B 0.221 0.500 0.099 1
C1 C 0.188 0.000 0.683 1
```

---

First-principles (PBE-GGA) data for a relaxed PmHoZnGe crystal, as listed in the Alexandria database.

Properties
- ΔE to the lowest computed polymorph (eV/f.u.) = 0.31
- formation enthalpy at 0 K (meV/atom) = -522

The structure in CIF format:
```
data_PmHoZnGe
_space_group_name_H-M_alt 'F -4 3 m'
_space_group_IT_number 216
_space_group_name_Hall 'F -4 2 3'
_cell_length_a 7.177
_cell_length_b 7.177
_cell_length_c 7.177
_cell_angle_alpha 90.00
_cell_angle_beta 90.00
_cell_angle_gamma 90.00
loop_
_atom_site_label
_atom_site_type_symbol
_atom_site_fract_x
_atom_site_fract_y
_atom_site_fract_z
_atom_site_occupancy
Pm1 Pm 0.000 0.000 0.000 1
Ho1 Ho 0.000 0.000 0.500 1
Zn1 Zn 0.250 0.250 0.250 1
Ge1 Ge 0.250 0.250 0.750 1
```

---

First-principles (PBE-GGA) data for a relaxed PrNd6In3 crystal, as listed in the Alexandria database.

Properties
- formation enthalpy at 0 K (meV/atom) = -160

The structure in CIF format:
```
data_PrNd6In3
_space_group_name_H-M_alt 'C m c 21'
_space_group_IT_number 36
_cell_length_a 10.808
_cell_length_b 15.645
_cell_length_c 7.947
_cell_angle_alpha 90.00
_cell_angle_beta 90.00
_cell_angle_gamma 90.00
loop_
_space_group_symop_operation_xyz
'x,y,z'
'-x,-y,z+1/2'
'-x,y,z'
'x,-y,z+1/2'
'x+1/2,y+1/2,z'
'-x+1/2,-y+1/2,z+1/2'
'-x+1/2,y+1/2,z'
'x+1/2,-y+1/2,z+1/2'
loop_
_atom_site_label
_atom_site_type_symbol
_atom_site_fract_x
_atom_site_fract_y
_atom_site_fract_z
_atom_site_occupancy
Pr1 Pr 0.000 0.219 0.000 1
Nd1 Nd 0.000 0.050 0.710 1
Nd2 Nd 0.000 0.305 0.540 1
Nd3 Nd 0.235 0.467 0.519 1
Nd4 Nd 0.236 0.312 0.205 1
In1 In 0.000 0.448 0.230 1
In2 In 0.141 0.134 0.345 1
```

---

First-principles (PBE-GGA) data for a relaxed Nb2ZnN crystal, as listed in the Alexandria database.

Properties
- formation energy from raw total energies (eV/atom) = -0.5196

The structure in CIF format:
```
data_Nb2ZnN
_space_group_name_H-M_alt 'R -3 m'
_space_group_IT_number 166
_space_group_name_Hall '-R 3 2"'
_cell_length_a 3.1619
_cell_length_b 3.1619
_cell_length_c 20.2366
_cell_angle_alpha 90.00
_cell_angle_beta 90.00
_cell_angle_gamma 120.00
loop_
_atom_site_label
_atom_site_type_symbol
_atom_site_fract_x
_atom_site_fract_y
_atom_site_fract_z
_atom_site_occupancy
Nb1 Nb 0.0000 0.0000 0.2243 1
Zn1 Zn 0.0000 0.0000 0.0000 1
N1 N 0.0000 0.0000 0.5000 1
```

---

First-principles (PBE-GGA) data for a relaxed NdSc2Nb crystal, as listed in the Alexandria database.

Properties
- ΔE to the lowest computed polymorph (eV/f.u.) = 0.14
- formation enthalpy at 0 K (meV/atom) = 199

The structure in CIF format:
```
data_NdSc2Nb
_space_group_name_H-M_alt 'R -3 m'
_space_group_IT_number 166
_space_group_name_Hall '-R 3 2"'
_cell_length_a 3.2450
_cell_length_b 3.2450
_cell_length_c 32.2564
_cell_angle_alpha 90.00
_cell_angle_beta 90.00
_cell_angle_gamma 120.00
loop_
_atom_site_label
_atom_site_type_symbol
_atom_site_fract_x
_atom_site_fract_y
_atom_site_fract_z
_atom_site_occupancy
Nd1 Nd 0.0000 0.0000 0.0000 1
Sc1 Sc 0.0000 0.0000 0.2398 1
Nb1 Nb 0.0000 0.0000 0.5000 1
```

---

First-principles (PBE-GGA) data for a relaxed PrGaAu crystal, as listed in the Alexandria database.

Properties
- formation enthalpy at 0 K (meV/atom) = -576

The structure in CIF format:
```
data_PrGaAu
_space_group_name_H-M_alt 'F -4 3 m'
_space_group_IT_number 216
_space_group_name_Hall 'F -4 2 3'
_cell_length_a 6.799
_cell_length_b 6.799
_cell_length_c 6.799
_cell_angle_alpha 90.00
_cell_angle_beta 90.00
_cell_angle_gamma 90.00
loop_
_atom_site_label
_atom_site_type_symbol
_atom_site_fract_x
_atom_site_fract_y
_atom_site_fract_z
_atom_site_occupancy
Pr1 Pr 0.000 0.000 0.000 1
Ga1 Ga 0.000 0.000 0.500 1
Au1 Au 0.250 0.250 0.250 1
```

---

First-principles (PBE-GGA) data for a relaxed TbPuFe crystal, as listed in the Alexandria database.

Properties
- ΔE to the lowest computed polymorph (eV/f.u.) = 0.47
- formation enthalpy at 0 K (meV/atom) = 160

The structure in CIF format:
```
data_TbPuFe
_space_group_name_H-M_alt 'P -6 m 2'
_space_group_IT_number 187
_space_group_name_Hall 'P -6 2'
_cell_length_a 4.1085
_cell_length_b 4.1085
_cell_length_c 4.6253
_cell_angle_alpha 90.00
_cell_angle_beta 90.00
_cell_angle_gamma 120.00
loop_
_atom_site_label
_atom_site_type_symbol
_atom_site_fract_x
_atom_site_fract_y
_atom_site_fract_z
_atom_site_occupancy
Tb1 Tb 0.0000 0.0000 0.0000 1
Pu1 Pu 0.3333 0.6667 0.5000 1
Fe1 Fe 0.6667 0.3333 0.5000 1
```

---

First-principles (PBE-GGA) data for a relaxed NaLi3 crystal, as listed in the Alexandria database.

Properties
- ΔE to the lowest computed polymorph (eV/f.u.) = 0.12
- formation enthalpy at 0 K (meV/atom) = 51

The structure in CIF format:
```
data_NaLi3
_space_group_name_H-M_alt 'P 63/m m c'
_space_group_IT_number 194
_space_group_name_Hall '-P 6c 2c'
_cell_length_a 6.5181
_cell_length_b 6.5181
_cell_length_c 5.2731
_cell_angle_alpha 90.00
_cell_angle_beta 90.00
_cell_angle_gamma 120.00
loop_
_atom_site_label
_atom_site_type_symbol
_atom_site_fract_x
_atom_site_fract_y
_atom_site_fract_z
_atom_site_occupancy
Na1 Na 0.3333 0.6667 0.2500 1
Li1 Li 0.1577 0.3154 0.7500 1
```

---

First-principles (PBE-GGA) data for a relaxed TlTc2Se crystal, as listed in the Alexandria database.

Properties
- ΔE to the lowest computed polymorph (eV/f.u.) = 0.34
- formation energy from raw total energies (eV/atom) = 0.2922

The structure in CIF format:
```
data_TlTc2Se
_space_group_name_H-M_alt 'R 3 m'
_space_group_IT_number 160
_space_group_name_Hall 'R 3 -2"'
_cell_length_a 3.0027
_cell_length_b 3.0027
_cell_length_c 31.0188
_cell_angle_alpha 90.00
_cell_angle_beta 90.00
_cell_angle_gamma 120.00
loop_
_atom_site_label
_atom_site_type_symbol
_atom_site_fract_x
_atom_site_fract_y
_atom_site_fract_z
_atom_site_occupancy
Tl1 Tl 0.0000 0.0000 0.0000 1
Tc1 Tc 0.0000 0.0000 0.2525 1
Tc2 Tc 0.0000 0.0000 0.5179 1
Se1 Se 0.0000 0.0000 0.7934 1
```

---

First-principles (PBE-GGA) data for a relaxed Cr2Sn2Sb crystal, as listed in the Alexandria database.

Properties
- formation energy from raw total energies (eV/atom) = 0.3275

The structure in CIF format:
```
data_Cr2Sn2Sb
_space_group_name_H-M_alt 'P 4/m b m'
_space_group_IT_number 127
_space_group_name_Hall '-P 4 2ab'
_cell_length_a 7.194
_cell_length_b 7.194
_cell_length_c 3.989
_cell_angle_alpha 90.00
_cell_angle_beta 90.00
_cell_angle_gamma 90.00
loop_
_atom_site_label
_atom_site_type_symbol
_atom_site_fract_x
_atom_site_fract_y
_atom_site_fract_z
_atom_site_occupancy
Cr1 Cr 0.148 0.352 0.000 1
Sn1 Sn 0.155 0.655 0.500 1
Sb1 Sb 0.000 0.000 0.000 1
```

---

First-principles (PBE-GGA) data for a relaxed Rb4Sm3BiSe8 crystal, as listed in the Alexandria database.

Properties
- formation energy from raw total energies (eV/atom) = -1.5001

The structure in CIF format:
```
data_Rb4Sm3BiSe8
_space_group_name_H-M_alt 'R -3 m'
_space_group_IT_number 166
_space_group_name_Hall '-R 3 2"'
_cell_length_a 8.6734
_cell_length_b 8.6734
_cell_length_c 24.0453
_cell_angle_alpha 90.00
_cell_angle_beta 90.00
_cell_angle_gamma 120.00
loop_
_atom_site_label
_atom_site_type_symbol
_atom_site_fract_x
_atom_site_fract_y
_atom_site_fract_z
_atom_site_occupancy
Rb1 Rb 0.0000 0.0000 0.0000 1
Rb2 Rb 0.0000 0.5000 0.0000 1
Sm1 Sm 0.0000 0.5000 0.5000 1
Bi1 Bi 0.0000 0.0000 0.5000 1
Se1 Se 0.0000 0.0000 0.2329 1
Se2 Se 0.0025 0.5013 0.7667 1
```

---

First-principles (PBE-GGA) data for a relaxed Mg4GeAu3 crystal, as listed in the Alexandria database.

Properties
- formation enthalpy at 0 K (meV/atom) = -478

The structure in CIF format:
```
data_Mg4GeAu3
_space_group_name_H-M_alt 'P 4/m m m'
_space_group_IT_number 123
_space_group_name_Hall '-P 4 2'
_cell_length_a 3.355
_cell_length_b 3.355
_cell_length_c 13.057
_cell_angle_alpha 90.00
_cell_angle_beta 90.00
_cell_angle_gamma 90.00
loop_
_atom_site_label
_atom_site_type_symbol
_atom_site_fract_x
_atom_site_fract_y
_atom_site_fract_z
_atom_site_occupancy
Mg1 Mg 0.000 0.000 0.123 1
Mg2 Mg 0.000 0.000 0.366 1
Ge1 Ge 0.500 0.500 0.500 1
Au1 Au 0.500 0.500 0.000 1
Au2 Au 0.500 0.500 0.245 1
```